Entry 1:
PBE-GGA MnTc2Pb, optimized geometry; E_form = 465 meV per atom; E = -7.937 eV per atom; spin magnetization = 1.91 μB/cell; N(E_F) = 1.37 states/eV per atom
1.0
3.091 0.000 0.000
0.000 3.077 0.000
-0.051 0.000 6.880
Mn Tc Pb
1 2 1
Direct
0.000 0.000 0.000
0.496 0.500 0.797
0.504 0.500 0.203
0.000 0.000 0.500

Entry 2:
PBE-GGA MnTcPb2, optimized geometry; E_form = 460 meV per atom; excess energy over the best structure of this formula in the dataset = 145 meV per atom; E = -6.278 eV per atom; spin magnetization = 2.87 μB/cell; N(E_F) = 0.61 states/eV per atom
1.0
4.242 0.000 0.000
0.000 1.855 5.241
0.000 -1.855 5.241
Mn Tc Pb
1 1 2
Direct
0.000 0.000 0.000
0.500 0.872 0.872
0.000 0.281 0.281
0.500 0.587 0.587

Entry 3:
PBE-GGA MnTcPb2, optimized geometry; E_form = 712 meV per atom; excess energy over the best structure of this formula in the dataset = 397 meV per atom; E = -6.026 eV per atom; spin magnetization = 3.85 μB/cell; N(E_F) = 0.87 states/eV per atom
1.0
3.556 0.000 0.000
0.000 4.387 0.000
0.000 0.000 5.295
Mn Tc Pb
1 1 2
Direct
0.000 0.000 0.000
0.500 0.000 0.500
0.000 0.500 0.500
0.500 0.500 0.000

Entry 4:
PBE-GGA MnTc2Pb, optimized geometry; E_form = 503 meV per atom; E = -7.899 eV per atom; spin magnetization = 3.65 μB/cell; N(E_F) = 0.89 states/eV per atom
1.0
-2.026 2.026 3.966
2.026 -2.026 3.966
2.026 2.026 -3.966
Mn Tc Pb
1 2 1
Direct
0.000 0.000 0.000
0.500 0.500 0.000
0.750 0.250 0.500
0.250 0.750 0.500

Entry 5:
PBE-GGA MnTc2Pb, optimized geometry; E_form = 552 meV per atom; E = -7.851 eV per atom; spin magnetization = 2.43 μB/cell; N(E_F) = 1.06 states/eV per atom
1.0
-1.557 2.293 4.568
1.557 -2.293 4.568
1.557 2.293 -4.568
Mn Tc Pb
1 2 1
Direct
0.000 0.000 0.000
0.231 0.731 0.500
0.769 0.269 0.500
0.500 0.500 0.000

Entry 6:
PBE-GGA MnTcPb2, optimized geometry; E_form = 532 meV per atom; excess energy over the best structure of this formula in the dataset = 216 meV per atom; E = -6.206 eV per atom; spin magnetization = 3.69 μB/cell; N(E_F) = 0.75 states/eV per atom
1.0
-1.578 2.306 6.082
1.578 -2.306 6.082
1.578 2.306 -6.082
Mn Tc Pb
1 1 2
Direct
0.000 0.000 0.000
0.832 0.332 0.500
0.325 0.825 0.500
0.605 0.605 0.000

Entry 7:
PBE-GGA MnTc2Pb, optimized geometry; E_form = 532 meV per atom; E = -7.870 eV per atom; spin magnetization = 1.74 μB/cell; N(E_F) = 0.99 states/eV per atom
1.0
4.469 0.000 0.000
0.000 4.469 0.000
0.000 0.000 3.283
Mn Tc Pb
1 2 1
Direct
0.000 0.000 0.000
0.000 0.500 0.500
0.500 0.000 0.500
0.500 0.500 0.000

Entry 8:
PBE-GGA MnTcPb2, optimized geometry; E_form = 679 meV per atom; excess energy over the best structure of this formula in the dataset = 363 meV per atom; E = -6.059 eV per atom; spin magnetization = 3.90 μB/cell; N(E_F) = 0.84 states/eV per atom
1.0
4.530 -1.716 0.000
4.530 1.716 0.000
-0.992 0.000 5.320
Mn Tc Pb
1 1 2
Direct
0.000 0.000 0.000
0.500 0.500 0.500
0.242 0.242 0.740
0.758 0.758 0.260

Entry 9:
PBE-GGA MnTc2Pb, optimized geometry; E_form = 453 meV per atom; E = -7.950 eV per atom; spin magnetization = 2.11 μB/cell; N(E_F) = 0.99 states/eV per atom
1.0
4.515 -1.500 0.000
4.515 1.500 0.000
-1.088 0.000 4.898
Mn Tc Pb
1 2 1
Direct
0.000 0.000 0.000
0.267 0.267 0.798
0.733 0.733 0.202
0.500 0.500 0.500

Entry 10:
PBE-GGA Mn2TcPb, optimized geometry; E_form = 505 meV per atom; E = -7.598 eV per atom; spin magnetization = 5.91 μB/cell; N(E_F) = 1.08 states/eV per atom
1.0
-2.030 2.030 3.865
2.030 -2.030 3.865
2.030 2.030 -3.865
Mn Tc Pb
2 1 1
Direct
0.250 0.750 0.500
0.750 0.250 0.500
0.000 0.000 0.000
0.500 0.500 0.000

Entry 11:
PBE-GGA Mn2TcPb, optimized geometry; E_form = 503 meV per atom; E = -7.600 eV per atom; spin magnetization = 5.69 μB/cell; N(E_F) = 1.17 states/eV per atom
1.0
-2.067 2.067 3.727
2.067 -2.067 3.727
2.067 2.067 -3.727
Mn Tc Pb
2 1 1
Direct
0.000 0.000 0.000
0.750 0.250 0.500
0.500 0.500 0.000
0.250 0.750 0.500

Entry 12:
PBE-GGA Mn2TcPb, optimized geometry; E_form = 427 meV per atom; E = -7.677 eV per atom; spin magnetization = 5.09 μB/cell; N(E_F) = 0.60 states/eV per atom
1.0
3.013 0.000 0.000
0.000 3.013 0.000
0.000 0.000 7.518
Mn Tc Pb
2 1 1
Direct
0.000 0.000 0.000
0.500 0.500 0.211
0.500 0.500 0.831
0.000 0.000 0.530